Entry 1:
DFT (PBE-GGA) results for a relaxed structure of Zn4CdFe.

Lattice parameters (Å, degrees): 5.0582 5.0582 5.0582 60.00 60.00 60.00
Each line ends with the local moment (μB).
Sites, in units of the cell vectors:
1 Zn 0.3741 0.3741 0.8778  -0.03
2 Zn 0.8778 0.3741 0.3741  -0.03
3 Zn 0.3741 0.8778 0.3741  -0.03
4 Zn 0.3741 0.3741 0.3741  -0.03
5 Fe 0.0000 0.0000 0.0000  2.55
6 Cd 0.7500 0.7500 0.7500  -0.01

Computed properties:
final energy: -2.223 eV/atom
crystal system: cubic

Entry 2:
DFT (PBE-GGA) results for a relaxed structure of AcCeDyEr.

Lattice parameters (Å, degrees): 5.8109 5.8109 5.8109 60.00 60.00 60.00
Each line ends with the local moment (μB).
Sites, in units of the cell vectors:
1 Dy 0.0000 0.0000 0.0000  -0.01
2 Ce 0.7500 0.7500 0.7500  0.69
3 Er 0.5000 0.5000 0.5000  -0.02
4 Ac 0.2500 0.2500 0.2500  -0.01

Computed properties:
final energy: -4.620 eV/atom
crystal system: cubic

Entry 3:
DFT (PBE-GGA) results for a relaxed structure of YPaAlRe.

Lattice parameters (Å, degrees): 4.9682 4.9682 4.9682 60.00 60.00 60.00
Sites, in units of the cell vectors:
1 Re 0.0000 0.0000 0.0000
2 Pa 0.7500 0.7500 0.7500
3 Y 0.2500 0.2500 0.2500
4 Al 0.5000 0.5000 0.5000

Computed properties:
final energy: -8.045 eV/atom
crystal system: cubic

Entry 4:
DFT (PBE-GGA) results for a relaxed structure of Li3Se4.

Lattice parameters (Å, degrees): 12.6129 12.6129 12.6129 164.36 164.36 22.19
Sites, in units of the cell vectors:
1 Se 0.4531 0.4531 0.0000
2 Se 0.5469 0.5469 0.0000
3 Se 0.8240 0.8240 0.0000
4 Li 0.7164 0.7164 0.0000
5 Li 0.2836 0.2836 0.0000
6 Se 0.1760 0.1760 0.0000
7 Li 0.0000 0.0000 0.0000

Computed properties:
formation energy from raw total energies: -0.579 eV per atom
final energy: -3.390 eV/atom
crystal system: tetragonal

Entry 5:
DFT (PBE-GGA) results for a relaxed structure of NaCa2H6Ru.

Lattice parameters (Å, degrees): 6.2874 4.9978 4.9978 120.00 90.00 90.00
Each line ends with the local moment (μB).
Sites, in units of the cell vectors:
1 H 0.8399 0.1616 0.8384  0.00
2 Ca 0.8452 0.6667 0.3333  0.04
3 Na 0.5000 0.0000 0.0000  0.02
4 Ru 0.0000 0.0000 0.0000  0.11
5 H 0.8399 0.6769 0.8384  0.00
6 H 0.1601 0.3231 0.1616  0.00
7 H 0.1601 0.8384 0.6769  0.00
8 H 0.1601 0.8384 0.1616  0.00
9 H 0.8399 0.1616 0.3231  0.00
10 Ca 0.1548 0.3333 0.6667  0.04

Computed properties:
final energy: -3.909 eV/atom
crystal system: trigonal

Entry 6:
DFT (PBE-GGA) results for a relaxed structure of Er4In3Pb.

Lattice parameters (Å, degrees): 4.9180 4.9180 9.4068 105.21 105.15 90.00
Sites, in units of the cell vectors:
1 Er 0.6270 0.6268 0.2539
2 In 0.0000 0.5000 0.0000
3 Er 0.3730 0.3732 0.7461
4 Er 0.8730 0.8733 0.7461
5 Er 0.1270 0.1267 0.2539
6 Pb 0.5000 0.0000 0.0000
7 In 0.7497 0.2498 0.4995
8 In 0.2503 0.7502 0.5005

Computed properties:
final energy: -4.196 eV/atom
crystal system: monoclinic

Entry 7:
DFT (PBE-GGA) results for a relaxed structure of LiTlAsSe2.

Lattice parameters (Å, degrees): 6.3499 5.4209 7.7873 110.37 90.00 90.00
Sites, in units of the cell vectors:
1 Tl 0.7407 0.2500 0.5000
2 As 0.0000 0.0000 0.0000
3 Se 0.2884 0.3784 0.7567
4 Li 0.5000 0.7500 0.0000
5 Li 0.5000 0.2500 0.0000
6 Tl 0.2593 0.7500 0.5000
7 Se 0.7116 0.6216 0.2433
8 Se 0.7116 0.8784 0.7567
9 Se 0.2884 0.1216 0.2433
10 As 0.0000 0.5000 0.0000

Computed properties:
excess energy over the best structure of this formula in the dataset: 0.00 kcal/mol of atoms
formation energy from raw total energies: -0.296 eV per atom
final energy: -3.476 eV/atom
crystal system: orthorhombic

Entry 8:
DFT (PBE-GGA) results for a relaxed structure of NbTlSeN2.

Lattice parameters (Å, degrees): 4.1457 4.1457 5.4248 90.00 90.00 90.00
Sites, in units of the cell vectors:
1 Tl 0.0000 0.0000 0.0000
2 N 0.0000 0.5000 0.0000
3 Se 0.0000 0.0000 0.5000
4 Nb 0.5000 0.5000 0.5000
5 N 0.5000 0.0000 0.0000

Computed properties:
excess energy over the best structure of this formula in the dataset: 42.08 kcal/mol of atoms
formation energy from raw total energies: 2.002 eV per atom
final energy: -4.513 eV/atom
crystal system: tetragonal

Entry 9:
DFT (PBE-GGA) results for a relaxed structure of AcTmGa.

Lattice parameters (Å, degrees): 4.7931 4.7932 7.9964 90.01 90.00 90.00
Each line ends with the local moment (μB).
Sites, in units of the cell vectors:
1 Tm 0.3136 0.8665 0.9196  0.24
2 Ga 0.3136 0.3664 0.6901  -0.01
3 Ac 0.8136 0.8664 0.5618  0.12
4 Ga 0.8136 0.8666 0.1491  -0.01
5 Ac 0.3136 0.3665 0.2775  0.12
6 Tm 0.8136 0.3665 0.9196  0.24

Computed properties:
excess energy over the best structure of this formula in the dataset: 0.00 kcal/mol of atoms
final energy: -4.244 eV/atom
crystal system: tetragonal

Entry 10:
DFT (PBE-GGA) results for a relaxed structure of CaBe2ZnRh.

Lattice parameters (Å, degrees): 4.3563 5.2626 4.3563 90.00 90.00 90.00
Sites, in units of the cell vectors:
1 Zn 0.5000 0.5000 0.5000
2 Be 0.0000 0.0000 0.5000
3 Rh 0.0000 0.0000 0.0000
4 Ca 0.0000 0.5000 0.0000
5 Be 0.5000 0.0000 0.0000

Computed properties:
final energy: -3.347 eV/atom
crystal system: tetragonal

Entry 11:
DFT (PBE-GGA) results for a relaxed structure of SrBe2SiIr.

Lattice parameters (Å, degrees): 4.4512 4.4512 4.5735 90.00 90.00 90.00
Sites, in units of the cell vectors:
1 Si 0.0000 0.0000 0.5000
2 Be 0.5000 0.0000 0.0000
3 Be 0.0000 0.5000 0.0000
4 Ir 0.0000 0.0000 0.0000
5 Sr 0.5000 0.5000 0.5000

Computed properties:
formation energy from raw total energies: -0.244 eV per atom
final energy: -4.928 eV/atom
crystal system: tetragonal

Entry 12:
DFT (PBE-GGA) results for a relaxed structure of Np3Tl3CdS8.

Lattice parameters (Å, degrees): 7.9640 7.9659 8.8292 116.84 90.00 119.99
Each line ends with the local moment (μB).
Sites, in units of the cell vectors:
1 S 0.2683 0.5366 0.3050  -0.09
2 S 0.2367 0.4735 0.6953  -0.10
3 S 0.7633 0.5265 0.3047  -0.10
4 Cd 0.0000 0.0000 0.5000  -0.01
5 Np 0.0000 0.5000 0.5000  3.49
6 S 0.2777 0.0412 0.3048  -0.10
7 Np 0.5000 0.5000 0.5000  3.49
8 Np 0.5000 0.0000 0.5000  3.49
9 Tl 0.0000 0.5000 0.0000  0.00
10 Tl 0.5000 0.5000 0.0000  0.00
11 S 0.7317 0.4634 0.6950  -0.09
12 S 0.7223 0.9588 0.6952  -0.10
13 S 0.2365 0.9587 0.6951  -0.10
14 S 0.7635 0.0413 0.3049  -0.10
15 Tl 0.0000 0.0000 0.0000  0.00

Computed properties:
formation energy from raw total energies: -0.934 eV per atom
final energy: -6.258 eV/atom
crystal system: trigonal

Entry 13:
DFT (PBE-GGA) results for a relaxed structure of VPOs.

Lattice parameters (Å, degrees): 4.1468 4.1614 6.7793 113.20 90.00 119.88
Sites, in units of the cell vectors:
1 P 0.6545 0.3089 0.3347
2 Os 0.3073 0.6146 0.2824
3 Os 0.6927 0.3854 0.7176
4 P 0.3455 0.6911 0.6653
5 V 0.0927 0.1855 0.8576
6 V 0.9073 0.8145 0.1424

Computed properties:
final energy: -8.810 eV/atom
crystal system: monoclinic

Entry 14:
DFT (PBE-GGA) results for a relaxed structure of CaThTe3.

Lattice parameters (Å, degrees): 7.9527 7.9532 8.4965 62.11 62.09 60.01
Sites, in units of the cell vectors:
1 Te 0.9322 0.2670 0.2534
2 Te 0.2670 0.5474 0.2535
3 Te 0.5474 0.9322 0.2534
4 Ca 0.1492 0.1494 0.5521
5 Ca 0.8508 0.8506 0.4479
6 Th 0.6587 0.6588 0.0238
7 Te 0.4526 0.0678 0.7466
8 Te 0.7330 0.4526 0.7465
9 Th 0.3413 0.3412 0.9762
10 Te 0.0678 0.7330 0.7466

Computed properties:
excess energy over the best structure of this formula in the dataset: 0.91 kcal/mol of atoms
formation energy from raw total energies: -1.308 eV per atom
final energy: -5.077 eV/atom
crystal system: trigonal

Entry 15:
DFT (PBE-GGA) results for a relaxed structure of Y2BeRhC.

Lattice parameters (Å, degrees): 4.9946 4.9946 3.4067 90.00 90.00 90.00
Sites, in units of the cell vectors:
1 Y 0.0000 0.5000 0.0000
2 Y 0.5000 0.0000 0.0000
3 C 0.0000 0.0000 0.0000
4 Be 0.0000 0.0000 0.5000
5 Rh 0.5000 0.5000 0.5000

Computed properties:
final energy: -7.076 eV/atom
crystal system: tetragonal

Entry 16:
DFT (PBE-GGA) results for a relaxed structure of TcTe2W.

Lattice parameters (Å, degrees): 3.3209 3.3209 6.6334 90.00 90.00 90.00
Sites, in units of the cell vectors:
1 Tc 0.5000 0.5000 0.7500
2 Te 0.0000 0.0000 0.9997
3 Te 0.0000 0.0000 0.5003
4 W 0.5000 0.5000 0.2500

Computed properties:
excess energy over the best structure of this formula in the dataset: 8.50 kcal/mol of atoms
formation energy from raw total energies: 0.537 eV per atom
final energy: -6.863 eV/atom
crystal system: tetragonal

Entry 17:
DFT (PBE-GGA) results for a relaxed structure of Cd3Ga.

Lattice parameters (Å, degrees): 5.0296 5.0296 5.0296 60.00 60.00 60.00
Sites, in units of the cell vectors:
1 Ga 0.5000 0.5000 0.5000
2 Cd 0.0000 0.0000 0.0000
3 Cd 0.2500 0.2500 0.2500
4 Cd 0.7500 0.7500 0.7500

Computed properties:
final energy: -1.386 eV/atom
crystal system: cubic

Entry 18:
DFT (PBE-GGA) results for a relaxed structure of CeZr3.

Lattice parameters (Å, degrees): 3.1569 5.7760 6.2401 117.57 104.65 90.00
Sites, in units of the cell vectors:
1 Zr 0.2393 0.5362 0.4787
2 Zr 0.5000 0.5401 0.0000
3 Zr 0.7607 0.0576 0.5213
4 Ce 0.0000 0.0328 0.0000

Computed properties:
excess energy over the best structure of this formula in the dataset: 0.00 kcal/mol of atoms
final energy: -7.809 eV/atom
crystal system: orthorhombic

Entry 19:
DFT (PBE-GGA) results for a relaxed structure of LaMgTe2.

Lattice parameters (Å, degrees): 7.2309 7.2309 8.0074 63.16 63.16 90.00
Each line ends with the local moment (μB).
Sites, in units of the cell vectors:
1 Te 0.8750 0.8332 0.7500  -0.01
2 Mg 0.5000 0.5000 0.0000  0.01
3 Te 0.3750 0.4168 0.7500  -0.01
4 Mg 0.2500 0.7500 0.5000  0.01
5 La 0.7500 0.2500 0.5000  0.33
6 La 0.0000 0.0000 0.0000  0.33
7 Te 0.1668 0.6250 0.2500  -0.01
8 Te 0.5832 0.1250 0.2500  -0.01

Computed properties:
formation energy from raw total energies: -0.847 eV per atom
final energy: -4.049 eV/atom
crystal system: tetragonal

Entry 20:
DFT (PBE-GGA) results for a relaxed structure of KZrNi3.

Lattice parameters (Å, degrees): 4.5104 4.5104 4.5104 90.00 90.00 90.00
Sites, in units of the cell vectors:
1 Ni 0.0000 0.5000 0.0000
2 Ni 0.5000 0.0000 0.0000
3 K 0.0000 0.0000 0.0000
4 Zr 0.5000 0.5000 0.5000
5 Ni 0.0000 0.0000 0.5000

Computed properties:
excess energy over the best structure of this formula in the dataset: 18.10 kcal/mol of atoms
final energy: -3.704 eV/atom
crystal system: cubic

Q: Which calculated volume values were calculated for the entries above? A: 15.3; 34.7; 21.7; 20.8; 13.6; 26.4; 25.1; 18.6; 30.6; 20.0; 18.1; 27.6; 15.1; 39.2; 17.0; 18.3; 22.5; 24.2; 40.3; 18.4, in Å³ per atom.